[1]
Density functional theory data (PBE-GGA) for Pm15Sm4Tm after structural relaxation.

Lattice parameters (Å, degrees): 5.1472 5.1472 25.6925 90.00 90.00 90.00
Fractional positions:
Pm 0.5000 0.5000 0.8014
Sm 0.0000 0.0000 0.8012
Pm 0.5000 0.5000 0.6004
Pm 0.0000 0.5000 0.0985
Sm 0.0000 0.0000 0.3996
Sm 0.0000 0.0000 0.6004
Pm 0.5000 0.5000 0.0000
Pm 0.0000 0.5000 0.9015
Pm 0.0000 0.5000 0.7008
Sm 0.0000 0.0000 0.1988
Pm 0.5000 0.0000 0.0985
Tm 0.0000 0.0000 0.0000
Pm 0.0000 0.5000 0.2992
Pm 0.0000 0.5000 0.5000
Pm 0.5000 0.0000 0.5000
Pm 0.5000 0.5000 0.1986
Pm 0.5000 0.0000 0.2992
Pm 0.5000 0.0000 0.7008
Pm 0.5000 0.5000 0.3996
Pm 0.5000 0.0000 0.9015

Summary:
Uncorrected energy: -4.7155 eV per atom
Symmetry: P4/mmm (123)
Total magnetic moment: 0.00 μB per cell

---

[2]
Density functional theory data (PBE-GGA) for Sr2CaMgPt after structural relaxation.

Lattice parameters (Å, degrees): 5.9316 5.9316 5.2587 90.00 90.00 90.00
Fractional positions:
Sr 0.5000 0.0000 0.0000
Mg 0.0000 0.0000 0.5000
Ca 0.5000 0.5000 0.5000
Pt 0.0000 0.0000 0.0000
Sr 0.0000 0.5000 0.0000

Summary:
Uncorrected energy: -2.9513 eV per atom
Symmetry: P4/mmm (123)
Total magnetic moment: 0.00 μB per cell
Energy above the lowest structure with this stoichiometry: 33 meV/atom

---

[3]
Density functional theory data (PBE-GGA) for Na4DyY3S8 after structural relaxation.

Lattice parameters (Å, degrees): 7.9760 8.1173 7.9755 119.44 120.00 90.00
Fractional positions:
S 0.7427 0.7269 0.9849
Y 0.5000 0.5000 0.0000
S 0.2573 0.2731 0.0151
S 0.7424 0.7271 0.4849
S 0.2422 0.7269 0.4844
Na 0.0000 0.0000 0.5000
Y 0.5000 0.5000 0.5000
Dy 0.0000 0.5000 0.0000
Na 0.5000 0.0000 0.0000
S 0.2576 0.2729 0.5151
S 0.7578 0.2731 0.5156
Na 0.0000 0.0000 0.0000
Y 0.0000 0.5000 0.5000
S 0.2422 0.7269 0.9849
S 0.7578 0.2731 0.0151
Na 0.5000 0.0000 0.5000

Summary:
Uncorrected energy: -5.7450 eV per atom
Symmetry: R-3m (166)
Total magnetic moment: 0.00 μB per cell

---

[4]
Density functional theory data (PBE-GGA) for LaTl after structural relaxation.

Lattice parameters (Å, degrees): 5.4895 5.4895 5.4895 42.59 42.59 42.59
Fractional positions:
Tl 0.5000 0.5000 0.5000
La 0.0000 0.0000 0.0000

Summary:
Uncorrected energy: -3.9184 eV per atom
Symmetry: R-3m (166)
Total magnetic moment: 0.00 μB per cell

---

[5]
Density functional theory data (PBE-GGA) for Rb2CrP2S6 after structural relaxation.

Lattice parameters (Å, degrees): 6.8320 6.8320 7.6510 63.48 63.48 60.00
Last column: magnetic moment on the atom in μB.
Fractional positions:
P 0.5621 0.5621 0.3136  0.04
S 0.7512 0.2430 0.2546  -0.01
S 0.7512 0.7512 0.2546  -0.01
S 0.7570 0.2488 0.7454  -0.01
S 0.2430 0.7512 0.2546  -0.01
Cr 0.0000 0.0000 0.0000  3.52
Rb 0.2386 0.2386 0.2842  0.00
P 0.4379 0.4379 0.6864  0.04
S 0.2488 0.2488 0.7454  -0.01
Rb 0.7614 0.7614 0.7158  0.00
S 0.2488 0.7570 0.7454  -0.01

Summary:
Uncorrected energy: -4.8436 eV per atom
Symmetry: R-3m (166)
Total magnetic moment: 4.00 μB per cell

---

[6]
Density functional theory data (PBE-GGA) for BaSrPO2 after structural relaxation.

Lattice parameters (Å, degrees): 4.7675 4.7675 5.6385 90.00 90.00 90.00
Last column: magnetic moment on the atom in μB.
Fractional positions:
Sr 0.0000 0.0000 0.0000  0.02
P 0.0000 0.0000 0.5000  0.47
O 0.5000 0.0000 0.0000  0.62
Ba 0.5000 0.5000 0.5000  0.02
O 0.0000 0.5000 0.0000  0.62

Summary:
Uncorrected energy: -4.6733 eV per atom
Symmetry: P4/mmm (123)
Total magnetic moment: 2.62 μB per cell
Energy above the lowest structure with this stoichiometry: 0 meV/atom

---

- What is the uncorrected energy in the second record?
  -2.9513 eV per atom

---

- What is the uncorrected energy in the first record?
  -4.7155 eV per atom

---

- Among the records above, which one has the highest uncorrected energy?
  Sr2CaMgPt

---

- Look up the total magnetic moment of the second one.
  0.00 μB per cell